Below is a relaxed GaIr2 crystal, with properties calculated at the PBE level.

a = 13.300 Å, b = 2.828 Å, c = 4.664 Å
α = 90.00°, β = 91.35°, γ = 90.00°
Space group C2/m (No. 12)
Inequivalent atoms, fractional coordinates:
Ga 0.158 0.000 0.381
Ir 0.000 0.000 0.000
Ir 0.000 0.500 0.500
Ir 0.171 0.500 0.870

Properties
Electronic total energy = -85.67 eV for the cell shown
Formation energy from the elements = -0.223 eV/atom